[1]
First-principles (SCAN) data for a crystal of Ba2YP relaxed with PBEsol, as listed in the Alexandria database.

The structure in POSCAR format:
```
Ba2YP
1.0
5.3995 0.0000 0.0000
0.0000 15.0523 0.0000
0.0000 0.0000 4.3571
Ba Y P
4 2 2
direct
0.0000 0.1455 0.0000
0.0000 0.8545 0.0000
0.5000 0.3545 0.0000
0.5000 0.6455 0.0000
0.0000 0.5000 0.5000
0.5000 0.0000 0.5000
0.0000 0.0000 0.5000
0.5000 0.5000 0.5000
```

Its spin magnetization is 4.44 Bohr magnetons per cell. Its electronic total energy is -29.9357 eV per atom.



[2]
First-principles (SCAN) data for a crystal of Ba2YP relaxed with PBEsol, as listed in the Alexandria database.

The structure in POSCAR format:
```
Ba2YP
1.0
6.3183 0.0000 0.0000
0.0000 9.2426 0.0000
0.0000 0.0000 4.3054
Ba Y P
4 2 2
direct
0.2500 0.2500 0.0000
0.2500 0.7500 0.0000
0.7500 0.2500 0.0000
0.7500 0.7500 0.0000
0.0000 0.0000 0.5000
0.5000 0.5000 0.5000
0.0000 0.5000 0.5000
0.5000 0.0000 0.5000
```

Its spin magnetization is 0.00 Bohr magnetons per cell. Its electronic total energy is -29.4780 eV per atom.